Entry 1:
Density functional theory data (PBE) for a relaxed Be3TcTe crystal.

Summary:
Energy relative to the lowest polymorph listed for this composition (meV per atom): 0
SG: Pm-3m (221)

Cell: 4.3009 4.3009 4.3009 Å, 90.00 90.00 90.00°
Last column: nearest neighbours and their distance in Å.
Sites, in units of the cell vectors:
Te 0.5000 0.5000 0.5000  12 Be 3.04
Be 0.5000 0.0000 0.0000  2 Tc 2.15
Be 0.0000 0.0000 0.5000  2 Tc 2.15
Be 0.0000 0.5000 0.0000  2 Tc 2.15
Tc 0.0000 0.0000 0.0000  6 Be 2.15

***

Entry 2:
Density functional theory data (PBE) for a relaxed Be3TcTe crystal.

Summary:
Energy relative to the lowest polymorph listed for this composition (meV per atom): 885
SG: Pm-3m (221)

Cell: 4.5123 4.5123 4.5123 Å, 90.00 90.00 90.00°
Last column: nearest neighbours and their distance in Å.
Sites, in units of the cell vectors:
Te 0.0000 0.0000 0.0000  6 Be 2.26
Tc 0.5000 0.5000 0.5000  12 Be 3.19
Be 0.5000 0.0000 0.0000  2 Te 2.26
Be 0.0000 0.0000 0.5000  2 Te 2.26
Be 0.0000 0.5000 0.0000  2 Te 2.26

***

Entry 3:
Density functional theory data (PBE) for a relaxed Be2TcTe crystal.

Summary:
SG: C2/m (12)

Cell: 4.5074 4.5074 4.2184 Å, 89.79 89.79 47.47°
Last column: nearest neighbours and their distance in Å.
Sites, in units of the cell vectors:
Te 0.7500 0.7500 0.7500  4 Be 2.65, 4 Tc 2.78
Be 0.5558 0.5558 0.2516  2 Be 2.03
Be 0.9442 0.9442 0.2484  2 Be 2.03
Tc 0.2500 0.2500 0.2500  6 Be 2.42-2.52

***

Formation energy from raw total energies (computed, meV per atom): 930.4, 1815.7, 338.0
Volume (computed, A^3/atom): 15.911, 18.375, 15.788